Here is a relaxed SrCa2Ag2Sn2 crystal from Alexandria. Energies are from PBE-GGA.

a = 4.9510 Å, b = 4.9510 Å, c = 9.9494 Å
α = 75.59°, β = 75.59°, γ = 60.00°
Element x y z (fractional)
Ag 0.4087 0.4087 0.7738
Ag 0.5913 0.5913 0.2262
Ca 0.8712 0.8712 0.3863
Ca 0.1288 0.1288 0.6137
Sn 0.2527 0.2527 0.2419
Sn 0.7473 0.7473 0.7581
Sr 0.0000 0.0000 0.0000

formation enthalpy at 0 K = -0.51 eV/atom
spin magnetization = 0.00 Bohr magnetons per cell